No. 1
## Nd2SmEr9 (PBE)

Data for Nd2SmEr9 after structural relaxation.

Computed properties:
Energy of formation from the pure elements: 0.066 eV/atom
Symmetry: P6/mmm

a = 3.500 Å, b = 11.216 Å, c = 11.216 Å
α = 120.00°, β = 90.00°, γ = 90.00°
Element x y z (fractional)
Er 0.500 0.175 0.825
Er 0.500 0.825 0.175
Er 0.000 0.500 0.000
Er 0.000 0.500 0.500
Er 0.500 0.175 0.351
Er 0.500 0.825 0.649
Er 0.500 0.649 0.825
Er 0.000 0.000 0.500
Er 0.500 0.351 0.175
Nd 0.000 0.667 0.333
Sm 0.000 0.000 0.000
Nd 0.000 0.333 0.667


No. 2
## Nd3Sm3Er (PBE)

Data for Nd3Sm3Er after structural relaxation.

Computed properties:
Energy of formation from the pure elements: 0.226 eV/atom
Symmetry: R-3

a = 8.954 Å, b = 8.954 Å, c = 8.954 Å
α = 58.61°, β = 58.61°, γ = 58.61°
Element x y z (fractional)
Sm 0.568 0.068 0.721
Nd 0.938 0.705 0.182
Sm 0.432 0.932 0.279
Sm 0.932 0.279 0.432
Sm 0.068 0.721 0.568
Sm 0.279 0.432 0.932
Sm 0.721 0.568 0.068
Nd 0.818 0.062 0.295
Er 0.654 0.654 0.654
Er 0.346 0.346 0.346
Nd 0.295 0.818 0.062
Nd 0.705 0.182 0.938
Nd 0.182 0.938 0.705
Nd 0.062 0.295 0.818


No. 3
## Nd7SmEr12 (PBE)

Data for Nd7SmEr12 after structural relaxation.

Computed properties:
Energy of formation from the pure elements: 0.647 eV/atom
Symmetry: Im-3

a = 9.753 Å, b = 9.753 Å, c = 9.753 Å
α = 109.47°, β = 109.47°, γ = 109.47°
Element x y z (fractional)
Er 0.751 0.502 0.752
Er 0.752 0.751 0.502
Er 0.248 0.751 0.999
Er 0.751 0.999 0.248
Er 0.502 0.752 0.751
Er 0.249 0.498 0.248
Nd 0.500 0.000 0.500
Nd 0.000 0.500 0.500
Nd 0.500 0.500 0.000
Sm 0.000 0.000 0.000
Nd 0.000 0.000 0.500
Nd 0.500 0.000 0.000
Nd 0.500 0.500 0.500
Er 0.248 0.249 0.498
Er 0.498 0.248 0.249
Er 0.249 0.001 0.752
Er 0.999 0.248 0.751
Er 0.752 0.249 0.001
Nd 0.000 0.500 0.000
Er 0.001 0.752 0.249


No. 4
## Nd2SmEr (PBE)

Data for Nd2SmEr after structural relaxation.

Computed properties:
Energy of formation from the pure elements: 0.019 eV/atom
Symmetry: R3m

a = 3.638 Å, b = 3.638 Å, c = 11.953 Å
α = 81.25°, β = 81.25°, γ = 60.00°
Element x y z (fractional)
Er 0.667 0.667 0.999
Nd 0.251 0.251 0.247
Sm 0.500 0.500 0.501
Nd 0.082 0.082 0.753


No. 5
## Nd4Sm3Er2 (PBE)

Data for Nd4Sm3Er2 after structural relaxation.

Computed properties:
Energy of formation from the pure elements: 0.068 eV/atom
Symmetry: P3m1

a = 3.629 Å, b = 3.629 Å, c = 26.961 Å
α = 90.00°, β = 90.00°, γ = 120.00°
Element x y z (fractional)
Er 0.667 0.333 0.875
Sm 0.000 0.000 0.982
Er 0.667 0.333 0.086
Nd 0.667 0.333 0.433
Nd 0.667 0.333 0.212
Sm 0.667 0.333 0.656
Nd 0.000 0.000 0.768
Sm 0.000 0.000 0.320
Nd 0.000 0.000 0.545


No. 6
## NdSm5Er6 (PBE)

Data for NdSm5Er6 after structural relaxation.

Computed properties:
Energy of formation from the pure elements: 0.103 eV/atom
Symmetry: Immm

a = 10.117 Å, b = 10.117 Å, c = 5.828 Å
α = 106.74°, β = 106.74°, γ = 124.07°
Element x y z (fractional)
Er 0.929 0.571 0.750
Er 0.571 0.929 0.750
Sm 0.845 0.155 0.500
Sm 0.155 0.845 0.500
Nd 0.000 0.000 0.000
Er 0.429 0.071 0.250
Er 0.250 0.250 0.751
Er 0.750 0.750 0.249
Er 0.071 0.429 0.250
Sm 0.654 0.346 0.000
Sm 0.500 0.500 0.500
Sm 0.346 0.654 0.000


No. 7
## Nd3Sm3Er2 (PBE)

Data for Nd3Sm3Er2 after structural relaxation.

Computed properties:
Energy of formation from the pure elements: 0.076 eV/atom
Symmetry: C2/m

a = 5.788 Å, b = 6.040 Å, c = 8.775 Å
α = 109.87°, β = 109.26°, γ = 90.00°
Element x y z (fractional)
Nd 0.135 0.692 0.270
Nd 0.000 0.000 0.000
Sm 0.634 0.080 0.268
Sm 0.500 0.500 0.000
Er 0.750 0.682 0.500
Nd 0.865 0.308 0.730
Er 0.250 0.318 0.500
Sm 0.366 0.920 0.732


No. 8
## Nd2Sm5Er5 (PBE)

Data for Nd2Sm5Er5 after structural relaxation.

Computed properties:
Energy of formation from the pure elements: 0.018 eV/atom
Symmetry: C2/m

a = 5.061 Å, b = 8.014 Å, c = 10.767 Å
α = 72.77°, β = 76.41°, γ = 71.59°
Element x y z (fractional)
Sm 0.834 0.833 0.499
Er 0.583 0.083 0.751
Sm 0.000 0.000 0.000
Nd 0.917 0.415 0.751
Er 0.333 0.333 0.001
Sm 0.166 0.167 0.501
Sm 0.752 0.249 0.248
Sm 0.248 0.751 0.752
Er 0.500 0.500 0.500
Er 0.667 0.667 0.999
Nd 0.083 0.585 0.249
Er 0.417 0.917 0.249


No. 9
## Nd4SmEr (PBE)

Data for Nd4SmEr after structural relaxation.

Computed properties:
Energy of formation from the pure elements: 0.260 eV/atom
Symmetry: F-43m

a = 6.698 Å, b = 6.698 Å, c = 6.698 Å
α = 60.00°, β = 60.00°, γ = 60.00°
Element x y z (fractional)
Sm 0.250 0.250 0.250
Nd 0.626 0.626 0.626
Er 0.000 0.000 0.000
Nd 0.626 0.626 0.123
Nd 0.123 0.626 0.626
Nd 0.626 0.123 0.626


No. 10
## Nd7SmEr2 (PBE)

Data for Nd7SmEr2 after structural relaxation.

Computed properties:
Energy of formation from the pure elements: 0.017 eV/atom
Symmetry: P-1

a = 6.311 Å, b = 9.633 Å, c = 9.648 Å
α = 141.90°, β = 109.16°, γ = 77.37°
Element x y z (fractional)
Nd 0.500 0.500 0.000
Er 0.799 0.001 0.599
Nd 0.096 0.502 0.200
Nd 0.700 0.504 0.402
Nd 0.904 0.498 0.800
Nd 0.398 0.002 0.799
Er 0.201 0.999 0.401
Nd 0.300 0.496 0.598
Nd 0.602 0.998 0.201
Sm 0.000 0.000 0.000